# La3InGe | Alexandria via LeMat-Bulk | SCAN | PBEsol geometry
data_La3InGe
_chemical_formula_sum 'La96 In32 Ge32'
_cell_length_a 17.036
_cell_length_b 17.110
_cell_length_c 16.152
_cell_angle_alpha 90.00
_cell_angle_beta 90.00
_cell_angle_gamma 90.00
_symmetry_space_group_name_H-M 'F m m 2'
_symmetry_Int_Tables_number 42
_symmetry_space_group_name_Hall 'F 2 -2'
loop_
_atom_site_label
_atom_site_fract_x
_atom_site_fract_y
_atom_site_fract_z
La1 0.000 0.000 0.000
La2 0.000 0.000 0.212
La3 0.000 0.000 0.508
La4 0.000 0.000 0.725
La5 0.000 0.167 0.363
La6 0.116 0.184 0.005
La7 0.119 0.188 0.732
La8 0.166 0.000 0.865
La9 0.181 0.121 0.230
La10 0.186 0.119 0.499
In1 0.000 0.174 0.571
In2 0.173 0.000 0.071
In3 0.176 0.000 0.662
In4 0.250 0.250 0.367
Ge1 0.000 0.123 0.865
Ge2 0.000 0.179 0.167
Ge3 0.119 0.000 0.363
Ge4 0.250 0.250 0.115
# - Volume: 147.1 Å³/f.u.
# - DFT formation energy: -0.74 eV per atom

---

# Cu2AsPt | Alexandria via LeMat-Bulk | SCAN | PBEsol geometry
data_Cu2AsPt
_chemical_formula_sum 'Cu4 As2 Pt2'
_cell_length_a 3.801
_cell_length_b 3.801
_cell_length_c 7.483
_cell_angle_alpha 90.00
_cell_angle_beta 90.00
_cell_angle_gamma 90.00
_symmetry_space_group_name_H-M 'I -4 m 2'
_symmetry_Int_Tables_number 119
_symmetry_space_group_name_Hall 'I -4 -2'
loop_
_atom_site_label
_atom_site_fract_x
_atom_site_fract_y
_atom_site_fract_z
Cu1 0.000 0.000 0.000
Cu2 0.000 0.500 0.250
As1 0.000 0.500 0.750
Pt1 0.000 0.000 0.500
# - Volume: 54.1 Å³/f.u.
# - DFT formation energy: -0.11 eV per atom

---

# NiRuPt2 | Alexandria via LeMat-Bulk | SCAN | PBEsol geometry
data_NiRuPt2
_chemical_formula_sum 'Ni4 Ru4 Pt8'
_cell_length_a 6.047
_cell_length_b 6.047
_cell_length_c 6.047
_cell_angle_alpha 90.00
_cell_angle_beta 90.00
_cell_angle_gamma 90.00
_symmetry_space_group_name_H-M 'F -4 3 m'
_symmetry_Int_Tables_number 216
_symmetry_space_group_name_Hall 'F -4 2 3'
loop_
_atom_site_label
_atom_site_fract_x
_atom_site_fract_y
_atom_site_fract_z
Ni1 0.000 0.000 0.000
Ru1 0.250 0.250 0.750
Pt1 0.000 0.000 0.500
Pt2 0.250 0.250 0.250
# - Volume: 55.3 Å³/f.u.
# - DFT formation energy: 0.21 eV per atom

---

# Ga2BiC | Alexandria via LeMat-Bulk | SCAN | PBEsol geometry
data_Ga2BiC
_chemical_formula_sum 'Ga8 Bi4 C4'
_cell_length_a 5.581
_cell_length_b 5.581
_cell_length_c 10.045
_cell_angle_alpha 90.00
_cell_angle_beta 90.00
_cell_angle_gamma 90.00
_symmetry_space_group_name_H-M 'I -4 2 d'
_symmetry_Int_Tables_number 122
_symmetry_space_group_name_Hall 'I -4 2bw'
loop_
_atom_site_label
_atom_site_fract_x
_atom_site_fract_y
_atom_site_fract_z
Ga1 0.126 0.250 0.125
Bi1 0.000 0.000 0.500
C1 0.000 0.000 0.000
# - Volume: 78.2 Å³/f.u.
# - DFT formation energy: 0.46 eV per atom

---

# NbAl6Mo | Alexandria via LeMat-Bulk | SCAN | PBEsol geometry
data_NbAl6Mo
_chemical_formula_sum 'Nb1 Al6 Mo1'
_cell_length_a 3.804
_cell_length_b 3.804
_cell_length_c 8.423
_cell_angle_alpha 90.00
_cell_angle_beta 90.00
_cell_angle_gamma 90.00
_symmetry_space_group_name_H-M 'P 4/m m m'
_symmetry_Int_Tables_number 123
_symmetry_space_group_name_Hall '-P 4 2'
loop_
_atom_site_label
_atom_site_fract_x
_atom_site_fract_y
_atom_site_fract_z
Nb1 0.000 0.000 0.000
Al1 0.000 0.000 0.500
Al2 0.000 0.500 0.254
Al3 0.500 0.500 0.000
Mo1 0.500 0.500 0.500
# - Volume: 121.9 Å³/f.u.
# - DFT formation energy: -0.39 eV per atom

---

# Ba6Co25S27 | Alexandria via LeMat-Bulk | SCAN | PBEsol geometry
data_Ba6Co25S27
_chemical_formula_sum 'Ba6 Co25 S27'
_cell_length_a 9.811
_cell_length_b 9.811
_cell_length_c 9.811
_cell_angle_alpha 90.00
_cell_angle_beta 90.00
_cell_angle_gamma 90.00
_symmetry_space_group_name_H-M 'P m -3 m'
_symmetry_Int_Tables_number 221
_symmetry_space_group_name_Hall '-P 4 2 3'
loop_
_atom_site_label
_atom_site_fract_x
_atom_site_fract_y
_atom_site_fract_z
Ba1 0.000 0.000 0.305
Co1 0.130 0.371 0.371
Co2 0.500 0.500 0.500
S1 0.000 0.000 0.000
S2 0.000 0.254 0.500
S3 0.239 0.239 0.239
S4 0.262 0.500 0.500
# - E_form (uncorrected): -0.714 eV per atom
# - Volume: 944.3 Å³/f.u.